Entry 1:
Hf5TiP4 | GGA-PBE | optimized geometry

Lattice parameters (Å, degrees): 3.591 7.148 7.910 105.44 103.12 90.00
Fractional positions:
P 0.011 0.250 0.021
Hf 0.838 0.170 0.676
Hf 0.183 0.343 0.366
Hf 0.500 0.500 0.000
Hf 0.817 0.657 0.634
P 0.989 0.750 0.979
P 0.334 0.917 0.668
P 0.666 0.083 0.332
Ti 0.500 0.000 0.000
Hf 0.162 0.830 0.324

Values from the calculation:
space group	No. 12
raw total energy	-8.822	eV per atom
calculated volume	190.24	Å³/f.u.

Entry 2:
Nd3Y4Ho8 | GGA-PBE | optimized geometry

Lattice parameters (Å, degrees): 6.775 9.274 9.274 87.37 111.40 111.40
Fractional positions:
Ho 0.500 0.745 0.255
Ho 0.010 0.266 0.266
Nd 0.500 0.000 0.500
Nd 0.500 0.500 0.000
Y 0.000 0.000 0.500
Y 0.500 0.000 0.000
Ho 0.000 0.359 0.641
Ho 0.990 0.734 0.734
Y 0.000 0.500 0.000
Nd 0.500 0.500 0.500
Ho 0.500 0.255 0.745
Ho 0.463 0.730 0.730
Ho 0.000 0.641 0.359
Ho 0.537 0.270 0.270
Y 0.000 0.000 0.000

Values from the calculation:
space group	No. 12
raw total energy	-4.729	eV per atom
calculated volume	502.49	Å³/f.u.

Entry 3:
Ti2GaN | GGA-PBE | optimized geometry

Lattice parameters (Å, degrees): 3.015 3.015 13.348 90.00 90.00 120.00
Fractional positions:
Ti 0.333 0.667 0.414
Ti 0.667 0.333 0.586
Ti 0.333 0.667 0.086
Ga 0.667 0.333 0.250
N 0.000 0.000 0.500
N 0.000 0.000 0.000
Ga 0.333 0.667 0.750
Ti 0.667 0.333 0.914

Values from the calculation:
space group	No. 194
E_form (uncorrected)	-4.85	eV per formula unit
calculated volume	52.53	Å³/f.u.